# LiCa2FePd

An optimized crystal structure of LiCa2FePd (GGA-PBE, Alexandria via LeMat-Bulk).

abc: 5.3302 5.3302 4.5765
angles: 90.00 90.00 90.00
Last column: nearest neighbours and their distance in Å.
Positions (direct):
Li 0.0000 0.0000 0.0000  8 Ca 3.51, 4 Pd 3.77
Ca 0.0000 0.5000 0.5000  2 Fe 2.67
Ca 0.5000 0.0000 0.5000  2 Fe 2.67
Fe 0.5000 0.5000 0.5000  2 Pd 2.29
Pd 0.5000 0.5000 0.0000  2 Fe 2.29

Values from the calculation:
Its space-group type is No. 123. For the formation energy, the calculation gives 1.7 eV/f.u.

=====

# LiCaFeRe2

An optimized crystal structure of LiCaFeRe2 (GGA-PBE, Alexandria via LeMat-Bulk).

abc: 4.7179 4.7179 4.6429
angles: 90.00 90.00 90.00
Last column: nearest neighbours and their distance in Å.
Positions (direct):
Li 0.0000 0.0000 0.0000  8 Re 3.31, 4 Fe 3.34
Ca 0.5000 0.5000 0.5000  2 Fe 2.32, 4 Re 2.36
Fe 0.5000 0.5000 0.0000  2 Ca 2.32
Re 0.0000 0.5000 0.5000  2 Ca 2.36
Re 0.5000 0.0000 0.5000  2 Ca 2.36

Values from the calculation:
Its space-group type is No. 123. For the formation energy, the calculation gives 14.0 eV/f.u.

=====

# LiCaFe2S

An optimized crystal structure of LiCaFe2S (GGA-PBE, Alexandria via LeMat-Bulk).

abc: 4.2938 4.2938 5.2192
angles: 90.00 90.00 90.00
Last column: nearest neighbours and their distance in Å.
Positions (direct):
Li 0.0000 0.0000 0.0000  4 Ca 3.04, 8 Fe 3.38
Ca 0.5000 0.5000 0.0000  2 S 2.61
Fe 0.0000 0.5000 0.5000  2 S 2.15
Fe 0.5000 0.0000 0.5000  2 S 2.15
S 0.5000 0.5000 0.5000  4 Fe 2.15

Values from the calculation:
As for the energy relative to the elements, uncorrected: 0.045 eV per atom. Its space-group type is No. 123.

=====

# LiCaFeS2

An optimized crystal structure of LiCaFeS2 (GGA-PBE, Alexandria via LeMat-Bulk).

abc: 4.7200 4.7200 4.0765
angles: 90.00 90.00 90.00
Last column: nearest neighbours and their distance in Å.
Positions (direct):
Li 0.0000 0.0000 0.0000  2 Fe 2.04
Ca 0.5000 0.5000 0.5000  8 S 3.12, 4 Fe 3.34
Fe 0.0000 0.0000 0.5000  2 Li 2.04
S 0.0000 0.5000 0.0000  2 Li 2.36
S 0.5000 0.0000 0.0000  2 Li 2.36

Values from the calculation:
As for the energy relative to the elements, uncorrected: -0.246 eV per atom. Its space-group type is No. 123.

=====

# Li2CaFeSb

An optimized crystal structure of Li2CaFeSb (GGA-PBE, Alexandria via LeMat-Bulk).

abc: 5.1200 5.1200 6.0099
angles: 90.00 90.00 90.00
Last column: nearest neighbours and their distance in Å.
Positions (direct):
Li 0.0000 0.5000 0.0000  2 Sb 2.56
Li 0.5000 0.0000 0.0000  2 Sb 2.56
Ca 0.0000 0.0000 0.5000  2 Sb 3.00
Fe 0.5000 0.5000 0.5000  4 Ca 3.62, 8 Li 3.95
Sb 0.0000 0.0000 0.0000  4 Li 2.56

Values from the calculation:
As for the energy relative to the elements, uncorrected: 0.332 eV per atom. Its space-group type is No. 123.

=====

# Li2CaTiFe

An optimized crystal structure of Li2CaTiFe (GGA-PBE, Alexandria via LeMat-Bulk).

abc: 4.9494 4.9494 4.2024
angles: 90.00 90.00 90.00
Last column: nearest neighbours and their distance in Å.
Positions (direct):
Li 0.0000 0.5000 0.0000  2 Fe 2.47
Li 0.5000 0.0000 0.0000  2 Fe 2.47
Ca 0.0000 0.0000 0.5000  8 Li 3.25, 4 Ti 3.50
Ti 0.5000 0.5000 0.5000  2 Fe 2.10
Fe 0.5000 0.5000 0.0000  2 Ti 2.10

Values from the calculation:
Its space-group type is No. 123. For the formation energy, the calculation gives 1.8 eV/f.u.

=====

# LiCaTl2Fe

An optimized crystal structure of LiCaTl2Fe (GGA-PBE, Alexandria via LeMat-Bulk).

abc: 5.0546 5.0546 4.7654
angles: 90.00 90.00 90.00
Last column: nearest neighbours and their distance in Å.
Positions (direct):
Li 0.0000 0.0000 0.0000  2 Fe 2.38
Ca 0.5000 0.5000 0.0000  8 Tl 3.47, 4 Li 3.57
Tl 0.0000 0.5000 0.5000  2 Fe 2.53
Tl 0.5000 0.0000 0.5000  2 Fe 2.53
Fe 0.0000 0.0000 0.5000  2 Li 2.38, 4 Tl 2.53

Values from the calculation:
Its space-group type is No. 123. For the formation energy, the calculation gives 1.1 eV/f.u.

=====

# LiCaZrFe2

An optimized crystal structure of LiCaZrFe2 (GGA-PBE, Alexandria via LeMat-Bulk).

abc: 4.5419 4.5419 4.6654
angles: 90.00 90.00 90.00
Last column: nearest neighbours and their distance in Å.
Positions (direct):
Li 0.0000 0.0000 0.0000  4 Fe 2.27, 2 Zr 2.33
Ca 0.5000 0.5000 0.5000  4 Zr 3.21, 8 Fe 3.26
Zr 0.0000 0.0000 0.5000  2 Li 2.33
Fe 0.0000 0.5000 0.0000  2 Li 2.27
Fe 0.5000 0.0000 0.0000  2 Li 2.27

Values from the calculation:
Its space-group type is No. 123. For the formation energy, the calculation gives 4.6 eV/f.u.

=====

# CaLu2Fe

An optimized crystal structure of CaLu2Fe (GGA-PBE, Alexandria via LeMat-Bulk).

abc: 3.3157 3.3157 9.2963
angles: 90.00 90.00 90.00
Last column: nearest neighbours and their distance in Å.
Positions (direct):
Ca 0.0000 0.0000 0.0000  4 Ca 3.32
Lu 0.5000 0.5000 0.3325  4 Fe 2.81, 1 Lu 3.11
Lu 0.5000 0.5000 0.6675  4 Fe 2.81, 1 Lu 3.11
Fe 0.0000 0.0000 0.5000  8 Lu 2.81

Values from the calculation:
Its space-group type is No. 123. As for the excess energy over the best structure of this formula in the dataset: 0 kJ/mol of formula units. For the formation energy, the calculation gives 0.1 eV/f.u.

=====

# CaLu2Fe

An optimized crystal structure of CaLu2Fe (GGA-PBE, Alexandria via LeMat-Bulk).

abc: 10.5020 10.5020 10.5020
angles: 19.58 19.58 19.58
Last column: nearest neighbours and their distance in Å.
Positions (direct):
Ca 0.0000 0.0000 0.0000  2 Lu 3.49, 6 Ca 3.57
Lu 0.1129 0.1129 0.1129  3 Fe 2.65
Lu 0.8871 0.8871 0.8871  3 Fe 2.65
Fe 0.5000 0.5000 0.5000  6 Lu 2.65

Values from the calculation:
Its space-group type is No. 166. As for the excess energy over the best structure of this formula in the dataset: 97 kJ/mol of formula units. For the formation energy, the calculation gives 1.1 eV/f.u.

=====

# CaLu3Fe

An optimized crystal structure of CaLu3Fe (GGA-PBE, Alexandria via LeMat-Bulk).

abc: 5.1968 5.1968 5.1968
angles: 90.00 90.00 90.00
Last column: nearest neighbours and their distance in Å.
Positions (direct):
Ca 0.0000 0.0000 0.0000  12 Lu 3.67
Lu 0.0000 0.5000 0.5000  2 Fe 2.60
Lu 0.5000 0.0000 0.5000  2 Fe 2.60
Lu 0.5000 0.5000 0.0000  2 Fe 2.60
Fe 0.5000 0.5000 0.5000  6 Lu 2.60

Values from the calculation:
Its space-group type is No. 221. For the formation energy, the calculation gives 0.1 eV/f.u.

=====

# CaMg6Fe

An optimized crystal structure of CaMg6Fe (GGA-PBE, Alexandria via LeMat-Bulk).

abc: 5.0341 6.4979 6.4979
angles: 58.85 90.00 90.00
Last column: nearest neighbours and their distance in Å.
Positions (direct):
Ca 0.0000 0.0000 0.0000  10 Mg 3.10-3.39, 2 Fe 3.16
Mg 0.0000 0.9995 0.5226  2 Fe 3.04, 8 Mg 3.05-3.34, 2 Ca 3.10-3.39
Mg 0.0000 0.5155 0.5155  10 Mg 3.13-3.33, 2 Ca 3.20
Mg 0.0000 0.5226 0.9995  2 Fe 3.04, 8 Mg 3.05-3.34, 2 Ca 3.10-3.39
Mg 0.5000 0.3514 0.3514  10 Mg 3.13-3.29, 2 Fe 3.20
Mg 0.5000 0.3679 0.8486  1 Fe 2.95, 7 Mg 3.05-3.29, 2 Ca 3.25
Mg 0.5000 0.8486 0.3679  1 Fe 2.95, 7 Mg 3.05-3.29, 2 Ca 3.25
Fe 0.5000 0.8305 0.8305  8 Mg 2.95-3.20, 2 Ca 3.16

Values from the calculation:
Its space-group type is No. 38. As for the excess energy over the best structure of this formula in the dataset: 0 kJ/mol of formula units. For the formation energy, the calculation gives 1.4 eV/f.u.

=====

Repeat the seventh record exactly.
# LiCaTl2Fe

An optimized crystal structure of LiCaTl2Fe (GGA-PBE, Alexandria via LeMat-Bulk).

abc: 5.0546 5.0546 4.7654
angles: 90.00 90.00 90.00
Last column: nearest neighbours and their distance in Å.
Positions (direct):
Li 0.0000 0.0000 0.0000  2 Fe 2.38
Ca 0.5000 0.5000 0.0000  8 Tl 3.47, 4 Li 3.57
Tl 0.0000 0.5000 0.5000  2 Fe 2.53
Tl 0.5000 0.0000 0.5000  2 Fe 2.53
Fe 0.0000 0.0000 0.5000  2 Li 2.38, 4 Tl 2.53

Values from the calculation:
Its space-group type is No. 123. For the formation energy, the calculation gives 1.1 eV/f.u.